No. 1
# Pa2HSe2 PBE relaxed
# uncorrected energy = -6.71 eV/atom
# total moment = 2.76 μB per formula unit
data_Pa2HSe2
_chemical_formula_sum 'Pa8 H4 Se8'
_cell_length_a 3.627
_cell_length_b 10.442
_cell_length_c 10.920
_cell_angle_alpha 90.00
_cell_angle_beta 90.00
_cell_angle_gamma 90.00
_space_group_name_H-M_alt 'C m c 21'
_space_group_IT_number 36
loop_
_space_group_symop_operation_xyz
'x,y,z'
'-x,-y,z+1/2'
'-x,y,z'
'x,-y,z+1/2'
'x+1/2,y+1/2,z'
'-x+1/2,-y+1/2,z+1/2'
'-x+1/2,y+1/2,z'
'x+1/2,-y+1/2,z+1/2'
loop_
_atom_site_label
_atom_site_type_symbol
_atom_site_fract_x
_atom_site_fract_y
_atom_site_fract_z
Pa1 Pa 0.000 0.044 0.000
Pa2 Pa 0.000 0.243 0.249
H1 H 0.000 0.350 0.622
Se1 Se 0.000 0.041 0.744
Se2 Se 0.000 0.322 0.961



No. 2
# Sr2Ca2La PBE relaxed
# uncorrected energy = -2.12 eV/atom
# total moment = 0.00 μB per formula unit
# DFT formation energy = 343 meV per atom
data_Sr2Ca2La
_chemical_formula_sum 'Sr4 Ca4 La2'
_cell_length_a 4.819
_cell_length_b 4.819
_cell_length_c 20.768
_cell_angle_alpha 90.00
_cell_angle_beta 90.00
_cell_angle_gamma 90.00
_space_group_name_H-M_alt 'I 4/m m m'
_space_group_IT_number 139
_space_group_name_Hall '-I 4 2'
loop_
_atom_site_label
_atom_site_type_symbol
_atom_site_fract_x
_atom_site_fract_y
_atom_site_fract_z
Sr1 Sr 0.000 0.000 0.098
Ca1 Ca 0.000 0.500 0.250
La1 La 0.000 0.000 0.500



No. 3
# V5I12Br3 PBE relaxed
# uncorrected energy = -3.62 eV/atom
# raw formation energy = -0.164 eV/atom
# total moment = 9.99 μB per formula unit
data_V5I12Br3
_chemical_formula_sum 'V40 I96 Br24'
_cell_length_a 17.893
_cell_length_b 17.893
_cell_length_c 17.893
_cell_angle_alpha 90.00
_cell_angle_beta 90.00
_cell_angle_gamma 90.00
_space_group_name_H-M_alt 'I a -3 d'
_space_group_IT_number 230
_space_group_name_Hall '-I 4bd 2c 3'
loop_
_atom_site_label
_atom_site_type_symbol
_atom_site_fract_x
_atom_site_fract_y
_atom_site_fract_z
V1 V 0.000 0.000 0.000
V2 V 0.000 0.250 0.375
I1 I 0.039 0.053 0.645
Br1 Br 0.000 0.250 0.125



No. 4
# PmEuBiPd PBE relaxed
# uncorrected energy = -6.73 eV/atom
# total moment = 7.24 μB per formula unit
# DFT formation energy = -701 meV per atom
data_PmEuBiPd
_chemical_formula_sum 'Pm4 Eu4 Bi4 Pd4'
_cell_length_a 7.619
_cell_length_b 7.619
_cell_length_c 7.619
_cell_angle_alpha 90.00
_cell_angle_beta 90.00
_cell_angle_gamma 90.00
_space_group_name_H-M_alt 'F -4 3 m'
_space_group_IT_number 216
_space_group_name_Hall 'F -4 2 3'
loop_
_atom_site_label
_atom_site_type_symbol
_atom_site_fract_x
_atom_site_fract_y
_atom_site_fract_z
Pm1 Pm 0.000 0.000 0.000
Eu1 Eu 0.000 0.000 0.500
Bi1 Bi 0.250 0.250 0.250
Pd1 Pd 0.250 0.250 0.750



No. 5
# NaSn3Ge PBE relaxed
# uncorrected energy = -3.53 eV/atom
# total moment = 0.00 μB per formula unit
# DFT formation energy = 64 meV per atom
data_NaSn3Ge
_chemical_formula_sum 'Na8 Sn24 Ge8'
_cell_length_a 9.501
_cell_length_b 13.642
_cell_length_c 9.936
_cell_angle_alpha 90.00
_cell_angle_beta 117.87
_cell_angle_gamma 90.00
_space_group_name_H-M_alt 'C 1 2/c 1'
_space_group_IT_number 15
loop_
_space_group_symop_operation_xyz
'x,y,z'
'-x,-y,-z'
'-x,y,-z+1/2'
'x,-y,z+1/2'
'x+1/2,y+1/2,z'
'-x+1/2,-y+1/2,-z'
'-x+1/2,y+1/2,-z+1/2'
'x+1/2,-y+1/2,z+1/2'
loop_
_atom_site_label
_atom_site_type_symbol
_atom_site_fract_x
_atom_site_fract_y
_atom_site_fract_z
Na1 Na 0.000 0.100 0.250
Na2 Na 0.000 0.371 0.750
Sn1 Sn 0.161 0.349 0.409
Sn2 Sn 0.168 0.257 0.106
Sn3 Sn 0.171 0.475 0.120
Ge1 Ge 0.055 0.133 0.653



No. 6
# Hg4Au PBE relaxed
# uncorrected energy = -0.88 eV/atom
# total moment = 0.00 μB per formula unit
# DFT formation energy = 20 meV per atom
data_Hg4Au
_chemical_formula_sum 'Hg4 Au1'
_cell_length_a 5.500
_cell_length_b 5.500
_cell_length_c 5.500
_cell_angle_alpha 90.00
_cell_angle_beta 90.00
_cell_angle_gamma 90.00
_space_group_name_H-M_alt 'P m -3 m'
_space_group_IT_number 221
_space_group_name_Hall '-P 4 2 3'
loop_
_atom_site_label
_atom_site_type_symbol
_atom_site_fract_x
_atom_site_fract_y
_atom_site_fract_z
Hg1 Hg 0.000 0.000 0.000
Hg2 Hg 0.000 0.500 0.500
Au1 Au 0.500 0.500 0.500